No. 1
This record from the Alexandria database describes SrCa2Ir after structural relaxation. The functional is GGA-PBE.

## Properties
Space-group type: Amm2, No. 38
Energy in eV per atom: -3.735
Energy of formation in kJ/mol of formula units: -38

a = 3.760 Å, b = 8.525 Å, c = 8.525 Å
α = 30.52°, β = 90.00°, γ = 90.00°
Atoms (fractional coordinates):
1 Sr 0.000 0.000 0.000
2 Ca 0.000 0.674 0.674
3 Ca 0.500 0.314 0.314
4 Ir 0.500 0.146 0.146


No. 2
This record from the Alexandria database describes SrCa4Ir after structural relaxation. The functional is GGA-PBE.

## Properties
Space-group type: Immm, No. 71
Energy in eV per atom: -3.272
Energy of formation in kJ/mol of formula units: -105

a = 10.295 Å, b = 10.295 Å, c = 10.295 Å
α = 144.09°, β = 134.25°, γ = 59.49°
Atoms (fractional coordinates):
1 Sr 0.205 0.205 0.000
2 Sr 0.795 0.795 0.000
3 Ca 0.161 0.401 0.761
4 Ca 0.217 0.000 0.217
5 Ca 0.357 0.857 0.500
6 Ca 0.360 0.599 0.761
7 Ca 0.640 0.401 0.239
8 Ca 0.643 0.143 0.500
9 Ca 0.783 0.000 0.783
10 Ca 0.839 0.599 0.239
11 Ir 0.500 0.276 0.776
12 Ir 0.500 0.724 0.224


No. 3
This record from the Alexandria database describes SrCa2Ir after structural relaxation. The functional is GGA-PBE.

## Properties
Space-group type: Fm-3m, No. 225
Energy in eV per atom: -3.549
Energy of formation in kJ/mol of formula units: 34

a = 5.330 Å, b = 5.330 Å, c = 5.330 Å
α = 60.00°, β = 60.00°, γ = 60.00°
Atoms (fractional coordinates):
1 Sr 0.000 0.000 0.000
2 Ca 0.250 0.250 0.250
3 Ca 0.750 0.750 0.750
4 Ir 0.500 0.500 0.500


No. 4
This record from the Alexandria database describes SrCa2Ir2 after structural relaxation. The functional is GGA-PBE.

## Properties
Space-group type: I4/mmm, No. 139
Energy in eV per atom: -4.787
Energy of formation in kJ/mol of formula units: -51

a = 6.936 Å, b = 6.936 Å, c = 6.936 Å
α = 140.84°, β = 140.84°, γ = 56.59°
Atoms (fractional coordinates):
1 Sr 0.000 0.000 0.000
2 Ca 0.250 0.750 0.500
3 Ca 0.750 0.250 0.500
4 Ir 0.398 0.398 0.000
5 Ir 0.602 0.602 0.000


No. 5
This record from the Alexandria database describes SrCaIr2 after structural relaxation. The functional is GGA-PBE.

## Properties
Space-group type: P2/m, No. 10
Energy in eV per atom: -5.281
Energy of formation in kJ/mol of formula units: 27

a = 3.153 Å, b = 4.188 Å, c = 6.604 Å
α = 90.00°, β = 90.25°, γ = 90.00°
Atoms (fractional coordinates):
1 Sr 0.000 0.000 0.000
2 Ca 0.000 0.000 0.500
3 Ir 0.498 0.500 0.294
4 Ir 0.502 0.500 0.706


No. 6
This record from the Alexandria database describes SrCaIr2 after structural relaxation. The functional is GGA-PBE.

## Properties
Space-group type: R-3m, No. 166
Energy in eV per atom: -5.025
Energy of formation in kJ/mol of formula units: 126

a = 9.245 Å, b = 9.245 Å, c = 9.245 Å
α = 20.58°, β = 20.58°, γ = 20.58°
Atoms (fractional coordinates):
1 Sr 0.000 0.000 0.000
2 Ca 0.500 0.500 0.500
3 Ir 0.247 0.247 0.247
4 Ir 0.753 0.753 0.753


No. 7
This record from the Alexandria database describes Sr2Ca6Ir after structural relaxation. The functional is GGA-PBE.

## Properties
Space-group type: I4/mmm, No. 139
Energy in eV per atom: -2.835
Energy of formation in kJ/mol of formula units: -124

a = 8.043 Å, b = 8.043 Å, c = 8.043 Å
α = 119.92°, β = 119.92°, γ = 90.15°
Atoms (fractional coordinates):
1 Sr 0.250 0.750 0.500
2 Sr 0.750 0.250 0.500
3 Ca 0.244 0.244 0.487
4 Ca 0.244 0.756 0.000
5 Ca 0.245 0.245 0.000
6 Ca 0.755 0.755 0.000
7 Ca 0.756 0.244 0.000
8 Ca 0.756 0.756 0.513
9 Ir 0.000 0.000 0.000


No. 8
This record from the Alexandria database describes SrCaIr2 after structural relaxation. The functional is GGA-PBE.

## Properties
Space-group type: Cmmm, No. 65
Energy in eV per atom: -5.230
Energy of formation in kJ/mol of formula units: 47

a = 5.220 Å, b = 5.220 Å, c = 3.223 Å
α = 90.00°, β = 90.00°, γ = 104.57°
Atoms (fractional coordinates):
1 Sr 0.000 0.000 0.000
2 Ca 0.500 0.500 0.000
3 Ir 0.000 0.500 0.500
4 Ir 0.500 0.000 0.500


No. 9
This record from the Alexandria database describes Sr3CaIr after structural relaxation. The functional is GGA-PBE.

## Properties
Space-group type: Pm-3m, No. 221
Energy in eV per atom: -1.641
Energy of formation in kJ/mol of formula units: 743

a = 6.150 Å, b = 6.150 Å, c = 6.150 Å
α = 90.00°, β = 90.00°, γ = 90.00°
Atoms (fractional coordinates):
1 Sr 0.000 0.000 0.500
2 Sr 0.000 0.500 0.000
3 Sr 0.500 0.000 0.000
4 Ca 0.000 0.000 0.000
5 Ir 0.500 0.500 0.500


No. 10
This record from the Alexandria database describes SrCa2Ir after structural relaxation. The functional is GGA-PBE.

## Properties
Space-group type: Imm2, No. 44
Energy in eV per atom: -3.748
Energy of formation in kJ/mol of formula units: -43

a = 8.228 Å, b = 8.228 Å, c = 8.228 Å
α = 155.21°, β = 144.66°, γ = 43.65°
Atoms (fractional coordinates):
1 Sr 0.000 0.000 0.000
2 Ca 0.314 0.314 0.000
3 Ca 0.664 0.164 0.500
4 Ir 0.164 0.664 0.500


No. 11
This record from the Alexandria database describes SrCa2Ir2 after structural relaxation. The functional is GGA-PBE.

## Properties
Space-group type: P4/mbm, No. 127
Energy in eV per atom: -4.802
Energy of formation in kJ/mol of formula units: -58

a = 8.446 Å, b = 8.446 Å, c = 3.322 Å
α = 90.00°, β = 90.00°, γ = 90.00°
Atoms (fractional coordinates):
1 Sr 0.000 0.000 0.000
2 Sr 0.500 0.500 0.000
3 Ca 0.133 0.367 0.500
4 Ca 0.367 0.867 0.500
5 Ca 0.633 0.133 0.500
6 Ca 0.867 0.633 0.500
7 Ir 0.165 0.665 0.000
8 Ir 0.335 0.165 0.000
9 Ir 0.665 0.835 0.000
10 Ir 0.835 0.335 0.000


No. 12
This record from the Alexandria database describes SrCaIr2 after structural relaxation. The functional is GGA-PBE.

## Properties
Space-group type: Imm2, No. 44
Energy in eV per atom: -5.354
Energy of formation in kJ/mol of formula units: -1

a = 6.408 Å, b = 6.408 Å, c = 6.408 Å
α = 151.61°, β = 133.63°, γ = 55.27°
Atoms (fractional coordinates):
1 Sr 0.000 0.000 0.000
2 Ca 0.297 0.797 0.500
3 Ir 0.555 0.555 0.000
4 Ir 0.738 0.238 0.500